Density functional theory data (GGA-PBE) for BiAu17 after structural relaxation.

Lattice parameters (Å, degrees): 10.104 5.933 33.959 90.00 90.58 90.00
Space group Pm (No. 6)
Unique sites:
Bi1 0.000 0.000 0.000 [1 per cell]
Bi2 0.027 0.500 0.980 [1 per cell]
Bi3 0.170 0.000 0.584 [1 per cell]
Bi4 0.670 0.000 0.584 [1 per cell]
Au1 0.003 0.000 0.216 [1 per cell]
Au2 0.003 0.000 0.429 [1 per cell]
Au3 0.003 0.500 0.217 [1 per cell]
Au4 0.006 0.500 0.430 [1 per cell]
Au5 0.084 0.256 0.073 [2 per cell]
Au6 0.087 0.249 0.287 [2 per cell]
Au7 0.089 0.245 0.500 [2 per cell]
Au8 0.166 0.000 0.145 [1 per cell]
Au9 0.166 0.500 0.145 [1 per cell]
Au10 0.171 0.000 0.358 [1 per cell]
Au11 0.171 0.500 0.358 [1 per cell]
Au12 0.171 0.500 0.572 [1 per cell]
Au13 0.251 0.250 0.216 [2 per cell]
Au14 0.255 0.249 0.429 [2 per cell]
Au15 0.272 0.249 0.001 [2 per cell]
Au16 0.334 0.000 0.075 [1 per cell]
Au17 0.335 0.500 0.075 [1 per cell]
Au18 0.336 0.000 0.288 [1 per cell]
Au19 0.336 0.000 0.501 [1 per cell]
Au20 0.336 0.500 0.287 [1 per cell]
Au21 0.338 0.500 0.499 [1 per cell]
Au22 0.417 0.249 0.146 [2 per cell]
Au23 0.420 0.260 0.573 [2 per cell]
Au24 0.421 0.251 0.358 [2 per cell]
Au25 0.502 0.000 0.217 [1 per cell]
Au26 0.502 0.500 0.217 [1 per cell]
Au27 0.503 0.000 0.429 [1 per cell]
Au28 0.506 0.500 0.430 [1 per cell]
Au29 0.508 0.500 0.002 [1 per cell]
Au30 0.510 0.000 0.003 [1 per cell]
Au31 0.584 0.251 0.076 [2 per cell]
Au32 0.587 0.250 0.288 [2 per cell]
Au33 0.588 0.245 0.500 [2 per cell]
Au34 0.668 0.000 0.146 [1 per cell]
Au35 0.669 0.500 0.146 [1 per cell]
Au36 0.670 0.000 0.358 [1 per cell]
Au37 0.670 0.500 0.358 [1 per cell]
Au38 0.671 0.500 0.572 [1 per cell]
Au39 0.748 0.257 0.003 [2 per cell]
Au40 0.752 0.250 0.217 [2 per cell]
Au41 0.755 0.249 0.429 [2 per cell]
Au42 0.834 0.000 0.076 [1 per cell]
Au43 0.836 0.000 0.501 [1 per cell]
Au44 0.836 0.500 0.287 [1 per cell]
Au45 0.837 0.000 0.288 [1 per cell]
Au46 0.837 0.500 0.075 [1 per cell]
Au47 0.838 0.500 0.499 [1 per cell]
Au48 0.919 0.251 0.146 [2 per cell]
Au49 0.920 0.260 0.573 [2 per cell]
Au50 0.921 0.251 0.358 [2 per cell]

## Properties
total energy: -3.2577 eV/atom
calculated volume: 28.3 A^3/atom
polymorph energy (0 for the lowest one): 0.008 eV per atom